Entry 1:
LiZrZn2: single point on PBEsol structure, SCAN.

Lattice parameters (Å, degrees): 2.9576 3.1478 6.8087 90.00 90.00 90.00
Last column: magnetic moment on the atom in μB.
Positions (direct):
Zn: 0.0000 0.0000 0.2802  0.00
Zr: 0.5000 0.5000 0.0000  0.06
Li: 0.5000 0.5000 0.5000  0.00
Zn: 0.0000 0.0000 0.7198  0.00

The calculation puts the density of states at the Fermi level at 2.29 states/eV/f.u. The energy of formation is -0.25 eV per atom. As for the total energy: -61.11 eV per cell. For the density, the calculation gives 6.00 g cm⁻³.

---

Entry 2:
Li2ZrZn2: single point on PBEsol structure, SCAN.

Lattice parameters (Å, degrees): 2.6841 7.5480 7.5480 90.00 90.00 90.00
Positions (direct):
Zn: 0.5000 0.8169 0.3169
Zr: 0.0000 0.0000 0.0000
Zr: 0.0000 0.5000 0.5000
Li: 0.0000 0.8837 0.6163
Li: 0.0000 0.1163 0.3837
Zn: 0.5000 0.3169 0.1831
Zn: 0.5000 0.6831 0.8169
Li: 0.0000 0.3837 0.8837
Zn: 0.5000 0.1831 0.6831
Li: 0.0000 0.6163 0.1163

The calculation puts the density of states at the Fermi level at 2.39 states/eV/f.u. The energy of formation is -0.16 eV per atom. As for the total energy: -126.64 eV per cell. For the density, the calculation gives 5.12 g cm⁻³.

---

Entry 3:
LiZr2Zn: single point on PBEsol structure, SCAN.

Lattice parameters (Å, degrees): 3.0430 3.0430 8.0104 90.00 90.00 90.00
Positions (direct):
Zr: 0.5000 0.5000 0.2560
Zr: 0.0000 0.0000 0.9758
Li: 0.0000 0.0000 0.5440
Zn: 0.5000 0.5000 0.7242

The calculation puts the density of states at the Fermi level at 2.65 states/eV/f.u. The energy of formation is -0.07 eV per atom. As for the total energy: -77.57 eV per cell. For the density, the calculation gives 5.70 g cm⁻³.